(1)
First-principles (meta-GGA SCAN) data for a PBEsol-optimized structure of H2S, as listed in Alexandria.

Calculated values
**Excess energy over the best structure of this formula in the dataset**: 4 meV/atom
**E_tot**: -5.681 eV per atom
**Symmetry**: Ibca (73)

Unit cell a=7.3844 b=7.3844 c=7.3844 alpha=76.81 beta=66.94 gamma=112.33
With the nearest neighbours (Å) after each atom.
Fractional positions:
H (0.6800, 0.9149, 0.5897)  1 S 1.37
H (0.0046, 0.2697, 0.9103)  1 S 1.37
H (0.4954, 0.5851, 0.7349)  1 S 1.37
H (0.8200, 0.2303, 0.7651)  1 S 1.37
H (0.3200, 0.0851, 0.4103)  1 S 1.37
H (0.9954, 0.7303, 0.0897)  1 S 1.37
H (0.5046, 0.4149, 0.2651)  1 S 1.37
H (0.1800, 0.7697, 0.2349)  1 S 1.37
H (0.8154, 0.7301, 0.7751)  1 S 1.37
H (0.0052, 0.5905, 0.7249)  1 S 1.37
H (0.4948, 0.7699, 0.4147)  1 S 1.37
H (0.6846, 0.9095, 0.0853)  1 S 1.37
H (0.1846, 0.2699, 0.2249)  1 S 1.37
H (0.9948, 0.4095, 0.2751)  1 S 1.37
H (0.5052, 0.2301, 0.5853)  1 S 1.37
H (0.3154, 0.0905, 0.9147)  1 S 1.37
S (0.9769, 0.2269, 0.2500)  2 H 1.37
S (0.5231, 0.2731, 0.7500)  2 H 1.37
S (0.0231, 0.7731, 0.7500)  2 H 1.37
S (0.4769, 0.7269, 0.2500)  2 H 1.37
S (0.5268, 0.2500, 0.2232)  2 H 1.37
S (0.9732, 0.7500, 0.2768)  2 H 1.37
S (0.4732, 0.7500, 0.7768)  2 H 1.37
S (0.0268, 0.2500, 0.7232)  2 H 1.37

=====

(2)
First-principles (meta-GGA SCAN) data for a PBEsol-optimized structure of SnMoS3, as listed in Alexandria.

Calculated values
**Formation energy (no corrections)**: 812 meV/atom
**E_tot**: -19.126 eV per atom
**Symmetry**: Pm-3m (221)

Unit cell a=4.8605 b=4.8605 c=4.8605 alpha=90.00 beta=90.00 gamma=90.00
With the nearest neighbours (Å) after each atom.
Fractional positions:
S (0.0000, 0.5000, 0.0000)  2 Sn 2.43
S (0.0000, 0.0000, 0.5000)  2 Sn 2.43
S (0.5000, 0.0000, 0.0000)  2 Sn 2.43
Mo (0.5000, 0.5000, 0.5000)  12 S 3.44
Sn (0.0000, 0.0000, 0.0000)  6 S 2.43

=====

(3)
First-principles (meta-GGA SCAN) data for a PBEsol-optimized structure of LaTaInSb2, as listed in Alexandria.

Calculated values
**Formation energy (no corrections)**: 757 meV/atom
**E_tot**: -42.762 eV per atom
**Symmetry**: P4/mmm (123)

Unit cell a=5.1527 b=5.4698 c=5.4698 alpha=90.00 beta=90.00 gamma=90.00
With the nearest neighbours (Å) after each atom.
Fractional positions:
Sb (0.0000, 0.0000, 0.5000)  2 In 2.73
Sb (0.0000, 0.5000, 0.0000)  2 In 2.73
La (0.5000, 0.5000, 0.5000)  8 Sb 3.76, 4 Ta 3.87
In (0.0000, 0.0000, 0.0000)  2 Ta 2.58, 4 Sb 2.73
Ta (0.5000, 0.0000, 0.0000)  2 In 2.58

=====

(4)
First-principles (meta-GGA SCAN) data for a PBEsol-optimized structure of Ca2Zn, as listed in Alexandria.

Calculated values
**Formation energy**: -179 meV/atom
**E_tot**: -11.127 eV per atom
**Symmetry**: I4/mcm (140)

Unit cell a=6.1573 b=6.1573 c=6.1573 alpha=106.33 beta=106.33 gamma=115.95
With the nearest neighbours (Å) after each atom.
Fractional positions:
Zn (0.7500, 0.7500, 0.0000)  8 Ca 3.18, 2 Zn 3.27
Zn (0.2500, 0.2500, 0.0000)  8 Ca 3.18, 2 Zn 3.27
Ca (0.8248, 0.3248, 0.1495)  4 Zn 3.18
Ca (0.1752, 0.6752, 0.8505)  4 Zn 3.18
Ca (0.3248, 0.1752, 0.5000)  4 Zn 3.18
Ca (0.6752, 0.8248, 0.5000)  4 Zn 3.18